Li2CoPO4F, relaxed, DFT PBE+U; symmetry = P1; calculated total energy = -6.195 eV per atom; total magnetization = 3.0 μB/f.u.; calculated volume = 10.5 Å³ per atom
1.0
5.3694 0.0000 0.0000
-0.3846 5.3595 0.0000
-2.4192 -2.5981 6.5748
Li Co P O F
4 2 2 8 2
Direct
0.0000 0.0000 0.0000
0.0488 0.3056 0.3986
0.2986 0.5568 0.2136
0.6121 0.6095 0.6144
0.5161 0.0832 0.0490
0.5244 0.0912 0.5616
0.1689 0.4400 0.8054
0.8702 0.7364 0.3059
0.1714 0.7953 0.4438
0.2081 0.2567 0.9320
0.2331 0.7326 0.9610
0.3543 0.4013 0.6803
0.6713 0.7708 0.4204
0.8150 0.4350 0.1693
0.8342 0.9334 0.1899
0.8766 0.3719 0.6476
0.3681 0.2361 0.3046
0.6514 0.9585 0.8060